1.
# Er3Tm5Sn2

Er3Tm5Sn2 after structural relaxation (PBE, the Alexandria database).

Cell lengths 6.236, 10.487, 10.487 Å; angles 95.76, 72.70, 72.70 degrees
Sites, in units of the cell vectors:
Tm 0.894 0.440 0.771
Tm 0.394 0.771 0.440
Tm 0.999 0.251 0.251
Tm 0.001 0.749 0.749
Tm 0.750 0.500 0.500
Tm 0.501 0.749 0.749
Tm 0.106 0.560 0.229
Tm 0.250 0.500 0.500
Tm 0.606 0.229 0.560
Tm 0.499 0.251 0.251
Sn 0.641 0.006 0.712
Sn 0.141 0.712 0.006
Sn 0.359 0.994 0.288
Sn 0.859 0.288 0.994
Er 0.885 0.907 0.324
Er 0.250 0.000 0.000
Er 0.750 0.000 0.000
Er 0.615 0.676 0.093
Er 0.115 0.093 0.676
Er 0.385 0.324 0.907

Uncorrected energy ... -4.417 eV per atom
N(E_F) ... 10.85 states/eV/f.u.
Crystal system ... orthorhombic
Space group ... Ibam (72)



2.
# Er6Tm12Sn

Er6Tm12Sn after structural relaxation (PBE, the Alexandria database).

Cell lengths 8.358, 8.358, 8.358 Å; angles 88.91, 88.91, 88.91 degrees
Sites, in units of the cell vectors:
Tm 0.919 0.373 0.841
Tm 0.023 0.742 0.723
Tm 0.258 0.277 0.977
Tm 0.081 0.627 0.159
Tm 0.841 0.919 0.373
Tm 0.723 0.023 0.742
Tm 0.373 0.841 0.919
Tm 0.627 0.159 0.081
Tm 0.277 0.977 0.258
Tm 0.159 0.081 0.627
Tm 0.977 0.258 0.277
Tm 0.742 0.723 0.023
Er 0.477 0.792 0.531
Er 0.469 0.523 0.208
Er 0.531 0.477 0.792
Er 0.792 0.531 0.477
Er 0.523 0.208 0.469
Er 0.208 0.469 0.523
Sn 0.000 0.000 0.000

Uncorrected energy ... -4.360 eV per atom
N(E_F) ... 30.90 states/eV/f.u.
Crystal system ... trigonal
Space group ... R-3 (148)



3.
# ErTm2Sn

ErTm2Sn after structural relaxation (PBE, the Alexandria database).

Cell lengths 3.436, 3.436, 11.818 Å; angles 81.64, 81.64, 60.00 degrees
Each line ends with the local moment (μB).
Sites, in units of the cell vectors:
Tm 0.905 0.905 0.284  0.12
Tm 0.095 0.095 0.716  0.12
Sn 0.500 0.500 0.500  0.00
Er 0.000 0.000 0.000  0.39

Uncorrected energy ... -4.341 eV per atom
N(E_F) ... 5.31 states/eV/f.u.
Crystal system ... trigonal
Space group ... R-3m (166)



4.
# Er2TmSn

Er2TmSn after structural relaxation (PBE, the Alexandria database).

Cell lengths 5.102, 6.736, 13.066 Å; angles 90.00, 90.00, 90.00 degrees
Sites, in units of the cell vectors:
Sn 0.750 0.132 0.681
Sn 0.750 0.368 0.181
Sn 0.250 0.632 0.819
Sn 0.250 0.868 0.319
Er 0.250 0.880 0.566
Er 0.750 0.636 0.688
Er 0.750 0.120 0.434
Er 0.250 0.136 0.812
Er 0.750 0.380 0.934
Er 0.250 0.364 0.312
Er 0.750 0.864 0.188
Er 0.250 0.620 0.066
Tm 0.250 0.120 0.074
Tm 0.750 0.880 0.926
Tm 0.750 0.620 0.426
Tm 0.250 0.380 0.574

Uncorrected energy ... -4.789 eV per atom
N(E_F) ... 5.01 states/eV/f.u.
Crystal system ... orthorhombic
Space group ... Pnma (62)



5.
# Er3Tm4Sn4

Er3Tm4Sn4 after structural relaxation (PBE, the Alexandria database).

Cell lengths 4.012, 9.185, 9.914 Å; angles 117.60, 101.67, 90.00 degrees
Each line ends with the local moment (μB).
Sites, in units of the cell vectors:
Tm 0.330 0.522 0.661  0.09
Tm 0.330 0.139 0.661  0.09
Tm 0.670 0.478 0.339  0.09
Tm 0.670 0.861 0.339  0.09
Er 0.000 0.500 0.000  0.02
Er 0.897 0.897 0.794  0.04
Er 0.103 0.103 0.206  0.04
Sn 0.259 0.759 0.518  0.00
Sn 0.500 0.788 0.000  0.00
Sn 0.741 0.241 0.482  0.00
Sn 0.500 0.212 0.000  0.00

Uncorrected energy ... -4.802 eV per atom
N(E_F) ... 12.18 states/eV/f.u.
Crystal system ... orthorhombic
Space group ... Immm (71)



6.
# ErTm6Sn4

ErTm6Sn4 after structural relaxation (PBE, the Alexandria database).

Cell lengths 8.003, 8.003, 8.003 Å; angles 85.39, 122.70, 122.70 degrees
Sites, in units of the cell vectors:
Sn 0.439 0.814 0.814
Sn 0.000 0.625 0.186
Sn 0.000 0.186 0.625
Sn 0.561 0.375 0.375
Tm 0.500 0.000 0.500
Tm 0.333 0.494 0.494
Tm 0.500 0.500 0.000
Tm 0.667 0.160 0.160
Tm 0.000 0.840 0.506
Tm 0.000 0.506 0.840
Er 0.000 0.000 0.000

Uncorrected energy ... -4.588 eV per atom
N(E_F) ... 12.21 states/eV/f.u.
Crystal system ... tetragonal
Space group ... I-42m (121)



7.
# Er6Tm8Sn

Er6Tm8Sn after structural relaxation (PBE, the Alexandria database).

Cell lengths 6.677, 9.015, 9.015 Å; angles 120.00, 90.00, 90.00 degrees
Sites, in units of the cell vectors:
Tm 0.110 0.315 0.332
Tm 0.890 0.685 0.668
Tm 0.799 0.333 0.667
Tm 0.201 0.667 0.333
Tm 0.110 0.668 0.983
Tm 0.110 0.017 0.685
Tm 0.890 0.332 0.017
Tm 0.890 0.983 0.315
Er 0.604 0.683 0.075
Er 0.604 0.925 0.608
Er 0.396 0.317 0.925
Er 0.396 0.608 0.683
Er 0.604 0.392 0.317
Er 0.396 0.075 0.392
Sn 0.500 0.000 0.000

Uncorrected energy ... -4.301 eV per atom
N(E_F) ... 21.46 states/eV/f.u.
Crystal system ... trigonal
Space group ... P-3 (147)



8.
# ErTmSn

ErTmSn after structural relaxation (PBE, the Alexandria database).

Cell lengths 3.724, 5.099, 5.099 Å; angles 120.00, 90.00, 90.00 degrees
Sites, in units of the cell vectors:
Sn 0.673 0.667 0.333
Er 0.389 0.333 0.667
Tm 0.939 0.000 0.000

Uncorrected energy ... -4.679 eV per atom
N(E_F) ... 3.03 states/eV/f.u.
Crystal system ... trigonal
Space group ... P3m1 (156)



9.
# Er4Tm5Sn

Er4Tm5Sn after structural relaxation (PBE, the Alexandria database).

Cell lengths 5.714, 7.941, 7.941 Å; angles 82.56, 68.91, 68.91 degrees
Sites, in units of the cell vectors:
Tm 0.144 0.000 0.627
Tm 0.674 0.000 0.000
Tm 0.144 0.627 0.000
Tm 0.771 0.000 0.373
Tm 0.771 0.373 0.000
Er 0.455 0.686 0.314
Er 0.141 0.314 0.314
Er 0.769 0.686 0.686
Er 0.455 0.314 0.686
Sn 0.187 0.000 0.000

Uncorrected energy ... -4.396 eV per atom
N(E_F) ... 12.01 states/eV/f.u.
Crystal system ... tetragonal
Space group ... I4mm (107)



10.
# Er2Tm7Sn

Er2Tm7Sn after structural relaxation (PBE, the Alexandria database).

Cell lengths 5.249, 9.117, 9.117 Å; angles 123.88, 90.00, 90.00 degrees
Sites, in units of the cell vectors:
Er 0.500 0.709 0.291
Er 0.500 0.291 0.709
Tm 0.500 0.928 0.719
Tm 0.500 0.719 0.928
Tm 0.500 0.072 0.281
Tm 0.500 0.500 0.500
Tm 0.500 0.281 0.072
Tm 0.000 0.196 0.804
Tm 0.000 0.804 0.196
Sn 0.000 0.000 0.000

Uncorrected energy ... -3.878 eV per atom
N(E_F) ... 10.45 states/eV/f.u.
Crystal system ... orthorhombic
Space group ... Cmmm (65)



11.
# ErTm2Sn

ErTm2Sn after structural relaxation (PBE, the Alexandria database).

Cell lengths 3.547, 3.547, 9.036 Å; angles 90.00, 90.00, 90.00 degrees
Sites, in units of the cell vectors:
Tm 0.000 0.000 0.769
Tm 0.000 0.000 0.231
Er 0.500 0.500 0.500
Sn 0.500 0.500 0.000

Uncorrected energy ... -4.678 eV per atom
N(E_F) ... 3.99 states/eV/f.u.
Crystal system ... tetragonal
Space group ... P4/mmm (123)



12.
# ErTm2Sn

ErTm2Sn after structural relaxation (PBE, the Alexandria database).

Cell lengths 5.102, 6.732, 6.689 Å; angles 103.60, 90.00, 90.00 degrees
Sites, in units of the cell vectors:
Tm 0.750 0.234 0.873
Tm 0.250 0.766 0.127
Tm 0.250 0.918 0.654
Tm 0.750 0.082 0.346
Sn 0.250 0.278 0.135
Sn 0.750 0.722 0.865
Er 0.750 0.588 0.371
Er 0.250 0.412 0.629

Uncorrected energy ... -4.767 eV per atom
N(E_F) ... 4.66 states/eV/f.u.
Crystal system ... monoclinic
Space group ... P2_1/m (11)



> Which of these has the highest N(E_F)?

Er6Tm12Sn



> Look up the N(E_F) of the eleventh one.

3.99 states/eV/f.u.



> The lowest N(E_F) belongs to which entry?

ErTmSn